Entry 1:
This record from Alexandria via LeMat-Bulk describes a relaxed NaPuMg4 crystal. The functional is GGA-PBE.

a b c (Å): 6.1208 6.1208 6.1208
angles (deg): 60.00 60.00 60.00
Site moments in Bohr magnetons follow the coordinates.
Sites, in units of the cell vectors:
Pu 0.2500 0.2500 0.2500  5.72
Mg 0.1257 0.6248 0.6248  0.01
Mg 0.6248 0.6248 0.1257  0.01
Na 0.0000 0.0000 0.0000  0.01
Mg 0.6248 0.6248 0.6248  0.01
Mg 0.6248 0.1257 0.6248  0.01

calculated total energy	-3.488	eV/atom
calculated density	3.7	Mg/m³
formation energy from the elements	17.7	kJ per mole of atoms

Entry 2:
This record from Alexandria via LeMat-Bulk describes a relaxed Na3Pu2MgS6 crystal. The functional is GGA-PBE.

a b c (Å): 6.8243 6.8243 7.0090
angles (deg): 99.33 99.33 119.99
Site moments in Bohr magnetons follow the coordinates.
Sites, in units of the cell vectors:
S 0.9258 0.5959 0.7775  -0.10
Na 0.1657 0.8343 0.5000  0.00
Na 0.8343 0.1657 0.5000  0.00
S 0.5959 0.9258 0.7775  -0.10
S 0.2558 0.2558 0.7777  -0.10
Pu 0.3332 0.6668 0.0000  4.78
S 0.0742 0.4041 0.2225  -0.10
S 0.4041 0.0742 0.2225  -0.10
Mg 0.0000 0.0000 0.0000  0.00
Pu 0.6668 0.3332 0.0000  4.78
S 0.7442 0.7442 0.2223  -0.10
Na 0.5000 0.5000 0.5000  0.00

calculated total energy	-6.359	eV/atom
calculated density	4.8	Mg/m³
energy relative to the elements, uncorrected	-1.444	eV/atom

Entry 3:
This record from Alexandria via LeMat-Bulk describes a relaxed Na4Pu3MgS8 crystal. The functional is GGA-PBE.

a b c (Å): 7.9499 8.0510 7.9515
angles (deg): 119.63 119.99 90.00
Site moments in Bohr magnetons follow the coordinates.
Sites, in units of the cell vectors:
Na 0.5000 0.0000 0.0000  0.00
S 0.7420 0.7259 0.4840  -0.11
Na 0.0000 0.0000 0.5000  0.00
Na 0.0000 0.0000 0.0000  0.00
S 0.2386 0.7219 0.4772  -0.09
Na 0.5000 0.0000 0.5000  0.00
S 0.7614 0.2781 0.5228  -0.09
S 0.7451 0.7218 0.9835  -0.09
S 0.2384 0.7218 0.9835  -0.09
S 0.7616 0.2782 0.0165  -0.09
Mg 0.0000 0.5000 0.0000  0.00
Pu 0.5000 0.5000 0.0000  4.87
S 0.2580 0.2741 0.5160  -0.11
Pu 0.5000 0.5000 0.5000  4.87
Pu 0.0000 0.5000 0.5000  4.87
S 0.2549 0.2782 0.0165  -0.09

calculated total energy	-6.650	eV/atom
calculated density	5.1	Mg/m³
energy relative to the elements, uncorrected	-1.469	eV/atom

Entry 4:
This record from Alexandria via LeMat-Bulk describes a relaxed NaPuMgSn crystal. The functional is GGA-PBE.

a b c (Å): 5.3028 5.3028 5.3028
angles (deg): 60.00 60.00 60.00
Site moments in Bohr magnetons follow the coordinates.
Sites, in units of the cell vectors:
Mg 0.7500 0.7500 0.7500  0.01
Pu 0.0000 0.0000 0.0000  5.42
Sn 0.2500 0.2500 0.2500  -0.07
Na 0.5000 0.5000 0.5000  0.00

calculated total energy	-5.341	eV/atom
calculated density	6.5	Mg/m³
formation energy from the elements	-2.8	kJ per mole of atoms

Please write out number 2 again, unchanged.
This record from Alexandria via LeMat-Bulk describes a relaxed Na3Pu2MgS6 crystal. The functional is GGA-PBE.

a b c (Å): 6.8243 6.8243 7.0090
angles (deg): 99.33 99.33 119.99
Site moments in Bohr magnetons follow the coordinates.
Sites, in units of the cell vectors:
S 0.9258 0.5959 0.7775  -0.10
Na 0.1657 0.8343 0.5000  0.00
Na 0.8343 0.1657 0.5000  0.00
S 0.5959 0.9258 0.7775  -0.10
S 0.2558 0.2558 0.7777  -0.10
Pu 0.3332 0.6668 0.0000  4.78
S 0.0742 0.4041 0.2225  -0.10
S 0.4041 0.0742 0.2225  -0.10
Mg 0.0000 0.0000 0.0000  0.00
Pu 0.6668 0.3332 0.0000  4.78
S 0.7442 0.7442 0.2223  -0.10
Na 0.5000 0.5000 0.5000  0.00

calculated total energy	-6.359	eV/atom
calculated density	4.8	Mg/m³
energy relative to the elements, uncorrected	-1.444	eV/atom

- What is the formula in the fourth record?
  NaPuMgSn

- Which of these has the highest calculated total energy?
  NaPuMg4